# 1
# SiHCl

Crystalline SiHCl at its relaxed geometry (PBE, Alexandria).

Output
- Crystal system: monoclinic
- E above lowest polymorph: 0.452 eV/atom

```
data_SiHCl
_chemical_formula_sum 'Si2 H2 Cl2'
_space_group_name_H-M_alt 'C 1 m 1'
_space_group_IT_number 8
_cell_length_a 10.876
_cell_length_b 2.972
_cell_length_c 3.436
_cell_angle_alpha 90.00
_cell_angle_beta 106.53
_cell_angle_gamma 90.00
loop_
_space_group_symop_operation_xyz
'x,y,z'
'x,-y,z'
'x+1/2,y+1/2,z'
'x+1/2,-y+1/2,z'
loop_
_atom_site_label
_atom_site_type_symbol
_atom_site_fract_x
_atom_site_fract_y
_atom_site_fract_z
Si1 Si 0.000 0.000 0.000
H1 H 0.469 0.500 0.472
Cl1 Cl 0.199 0.000 0.178
```

---

# 2
# Dy3NbPd12

Crystalline Dy3NbPd12 at its relaxed geometry (PBE, Alexandria).

Output
- Crystal system: tetragonal
- E_form: -0.78 eV/atom

```
data_Dy3NbPd12
_chemical_formula_sum 'Dy3 Nb1 Pd12'
_space_group_name_H-M_alt 'P 4/m m m'
_space_group_IT_number 123
_space_group_name_Hall '-P 4 2'
_cell_length_a 4.083
_cell_length_b 4.083
_cell_length_c 16.335
_cell_angle_alpha 90.00
_cell_angle_beta 90.00
_cell_angle_gamma 90.00
loop_
_atom_site_label
_atom_site_type_symbol
_atom_site_fract_x
_atom_site_fract_y
_atom_site_fract_z
Dy1 Dy 0.000 0.000 0.000
Dy2 Dy 0.000 0.000 0.251
Nb1 Nb 0.000 0.000 0.500
Pd1 Pd 0.000 0.500 0.128
Pd2 Pd 0.000 0.500 0.385
Pd3 Pd 0.500 0.500 0.000
Pd4 Pd 0.500 0.500 0.257
Pd5 Pd 0.500 0.500 0.500
```

---

# 3
# Li2SmSc2Sb2

Crystalline Li2SmSc2Sb2 at its relaxed geometry (PBE, Alexandria).

Output
- Crystal system: trigonal
- E_form (uncorrected): -590 meV per atom

```
data_Li2SmSc2Sb2
_chemical_formula_sum 'Li6 Sm3 Sc6 Sb6'
_space_group_name_H-M_alt 'R -3 m'
_space_group_IT_number 166
_space_group_name_Hall '-R 3 2"'
_cell_length_a 4.6597
_cell_length_b 4.6597
_cell_length_c 25.3198
_cell_angle_alpha 90.00
_cell_angle_beta 90.00
_cell_angle_gamma 120.00
loop_
_atom_site_label
_atom_site_type_symbol
_atom_site_fract_x
_atom_site_fract_y
_atom_site_fract_z
Li1 Li 0.0000 0.0000 0.0764
Sm1 Sm 0.0000 0.0000 0.5000
Sc1 Sc 0.0000 0.0000 0.3647
Sb1 Sb 0.0000 0.0000 0.2422
```

---

# 4
# LaRhBr2

Crystalline LaRhBr2 at its relaxed geometry (PBE, Alexandria).

Output
- Crystal system: orthorhombic
- E above lowest polymorph: 0.135 eV/atom
- E_form (uncorrected): -1000 meV per atom

```
data_LaRhBr2
_chemical_formula_sum 'La2 Rh2 Br4'
_space_group_name_H-M_alt 'I m m 2'
_space_group_IT_number 44
_cell_length_a 3.746
_cell_length_b 4.371
_cell_length_c 14.493
_cell_angle_alpha 90.00
_cell_angle_beta 90.00
_cell_angle_gamma 90.00
loop_
_space_group_symop_operation_xyz
'x,y,z'
'-x,-y,z'
'-x,y,z'
'x,-y,z'
'x+1/2,y+1/2,z+1/2'
'-x+1/2,-y+1/2,z+1/2'
'-x+1/2,y+1/2,z+1/2'
'x+1/2,-y+1/2,z+1/2'
loop_
_atom_site_label
_atom_site_type_symbol
_atom_site_fract_x
_atom_site_fract_y
_atom_site_fract_z
La1 La 0.000 0.000 0.000
Rh1 Rh 0.000 0.500 0.626
Br1 Br 0.000 0.000 0.395
Br2 Br 0.000 0.500 0.152
```